Material: KErCrN3
Method: DFT, GGA-PBE
State: optimized geometry

Lattice parameters (Å, degrees): 3.713 6.783 7.721 104.19 90.00 105.88
Element x y z (fractional)
N 0.867 0.735 0.226
N 0.133 0.265 0.774
N 0.489 0.978 0.670
N 0.842 0.684 0.629
N 0.158 0.316 0.371
N 0.511 0.022 0.330
Er 0.661 0.321 0.579
Er 0.339 0.679 0.421
Cr 0.996 0.992 0.666
Cr 0.004 0.008 0.334
K 0.639 0.278 0.068
K 0.361 0.722 0.932

Summary:
The value obtained for the total magnetization is 0.0 μB per formula unit. Its density of states at the Fermi level is 7.622 states/eV/cell. The value obtained for the energy relative to the elements, uncorrected is -541 meV/atom. The value obtained for the volume is 90.4 Å³/f.u. Its space-group type is No. 12.